{"formula": "KTaCd2", "functional": "GGA-PBE", "state": "relaxed", "energy_ev_per_atom": -3.2592, "dos_ef_per_ev_cell": 1.7, "crystal_system": "orthorhombic", "vol_a3_per_cell": 102, "ef_kj_per_mol_atoms": 42.1, "spacegroup": "Pmmm", "lattice_angstrom": [[2.850, 0.000, 0.000], [0.000, 4.472, 0.000], [0.000, 0.000, 7.992]], "species": ["K", "Ta", "Cd", "Cd"], "fractional_positions": [[0.000, 0.000, 0.000], [0.000, 0.000, 0.500], [0.500, 0.500, 0.312], [0.500, 0.500, 0.688]]}